A plane-wave DFT calculation with PBE was carried out for an optimized crystal structure of OsS2.

Results
Electronic total energy (eV/atom): -6.225
Size of the total moment (μB/cell): 0.003

Cell: 7.0920 7.0920 7.0920 Å, 60.00 60.00 60.00°
With the nearest neighbours (Å) after each atom.
Atoms (fractional coordinates):
1 Os 0.1250 0.1250 0.1250  4 S 2.17
2 Os 0.8750 0.8750 0.8750  4 S 2.17
3 S 0.0000 0.0000 0.0000  2 Os 2.17
4 S 0.0000 0.0000 0.5000  2 Os 2.17
5 S 0.0000 0.5000 0.0000  2 Os 2.17
6 S 0.5000 0.0000 0.0000  2 Os 2.17